(1)
The following is a PBE calculation of an optimized crystal structure of KMn2Ag, from the Alexandria database.

```
KMn2Ag
1.0
6.243 0.252 0.002
2.883 5.543 -0.002
-3.612 -4.396 2.583
Mn Ag K
2 1 1
Direct
0.754 0.254 0.500
0.958 0.958 0.000
0.535 0.535 0.000
0.253 0.753 0.500
```

Results
Energy of formation ... 820 meV/atom

=====

(2)
The following is a PBE calculation of an optimized crystal structure of Te2S5, from the Alexandria database.

```
Te2S5
1.0
-1.183 -4.402 -1.848
2.650 -6.643 -7.200
3.456 -6.732 3.121
S Te
5 2
Direct
0.000 0.000 0.000
0.659 0.740 0.098
0.341 0.260 0.902
0.001 0.300 0.567
0.999 0.700 0.433
0.530 0.041 0.721
0.470 0.959 0.279
```

Results
E_form (uncorrected) ... 250 meV per atom

=====

(3)
The following is a PBE calculation of an optimized crystal structure of Ga4CuRh2, from the Alexandria database.

```
Ga4CuRh2
1.0
6.382 0.000 -0.120
0.000 5.017 0.000
-2.502 0.000 6.614
Ga Cu Rh
8 2 4
Direct
0.991 0.250 0.572
0.428 0.995 0.771
0.572 0.495 0.229
0.428 0.505 0.771
0.070 0.750 0.848
0.009 0.750 0.428
0.572 0.005 0.229
0.930 0.250 0.152
0.758 0.250 0.766
0.242 0.750 0.234
0.321 0.250 0.429
0.213 0.250 0.974
0.787 0.750 0.026
0.679 0.750 0.571
```

Results
Energy of formation ... -290 meV/atom

=====

(4)
The following is a PBE calculation of an optimized crystal structure of Tl5Ga, from the Alexandria database.

```
Tl5Ga
1.0
-0.859 -0.940 3.304
-1.506 -2.958 -1.233
12.008 -6.630 1.236
Ga Tl
1 5
Direct
0.500 0.500 0.000
0.500 0.500 0.325
0.000 0.000 0.144
0.000 0.000 0.856
0.500 0.500 0.675
0.000 0.000 0.500
```

Results
Energy of formation ... 41 meV/atom

=====

Copy entry 4 word for word.
The following is a PBE calculation of an optimized crystal structure of Tl5Ga, from the Alexandria database.

```
Tl5Ga
1.0
-0.859 -0.940 3.304
-1.506 -2.958 -1.233
12.008 -6.630 1.236
Ga Tl
1 5
Direct
0.500 0.500 0.000
0.500 0.500 0.325
0.000 0.000 0.144
0.000 0.000 0.856
0.500 0.500 0.675
0.000 0.000 0.500
```

Results
Energy of formation ... 41 meV/atom